The following is a PBE calculation of an optimized crystal structure of CoHg2Ir, from the Alexandria database.

Values from the calculation:
ΔE to the lowest computed polymorph	246.7	meV/atom

a b c (Å): 9.134 2.993 5.098
angles (deg): 90.00 101.69 90.00
Space group C2/m (No. 12)
Unique sites:
Co  0.000  0.000  0.000 x2
Hg  0.246  0.500  0.244 x4
Ir  0.000  0.500  0.500 x2

The following is a PBE calculation of an optimized crystal structure of CoHgIr2, from the Alexandria database.

a b c (Å): 8.958 2.814 4.978
angles (deg): 90.00 100.04 90.00
Space group Cm (No. 8)
Unique sites:
Co  0.000  0.000  0.000 x2
Hg  0.244  0.000  0.741 x2
Ir  0.238  0.500  0.234 x2
Ir  0.482  0.000  0.427 x2

The following is a PBE calculation of an optimized crystal structure of Co2HgIr, from the Alexandria database.

a b c (Å): 6.173 6.173 6.173
angles (deg): 90.00 90.00 90.00
Space group F-43m (No. 216)
Unique sites:
Co  0.000  0.000  0.000 x4
Co  0.250  0.250  0.250 x4
Hg  0.000  0.000  0.500 x4
Ir  0.250  0.250  0.750 x4

Ordered formation energy results: 0.574, 0.414, 0.532; unit eV per atom.
Ordered density of states at the Fermi level results: 1.350, 1.368, 1.476; unit states/eV per atom.
Ordered V results: 17.1, 15.4, 14.7; unit Å³/atom.